VASP calculation (PBE-GGA) on a geometry-optimized Er2Co12P7 structure.

```
Er2Co12P7
1.0
8.9883 0.0000 0.0000
-4.4941 7.7841 0.0000
0.0000 0.0000 3.5743
Er Co P
2 12 7
direct
0.6667 0.3333 0.5000
0.3333 0.6667 0.0000
0.1190 0.8458 0.0000
0.3827 0.4357 0.5000
0.7268 0.8810 0.0000
0.5643 0.9470 0.5000
0.2347 0.1027 0.5000
0.8680 0.7653 0.5000
0.8973 0.1320 0.5000
0.9397 0.3746 0.0000
0.6254 0.5652 0.0000
0.4348 0.0603 0.0000
0.0530 0.6173 0.5000
0.1542 0.2732 0.0000
0.0000 0.0000 0.0000
0.5969 0.7089 0.5000
0.7066 0.1135 0.0000
0.8865 0.5930 0.0000
0.4070 0.2934 0.0000
0.2911 0.8880 0.5000
0.1120 0.4031 0.5000
```

Calculated values
The calculation puts the energy at -7.106 eV per atom. Its density of states at the Fermi level is 0.56 states/eV per atom. As for the crystal system: hexagonal.